First-principles (PBE) data for a relaxed structure of CoTe2Br, as listed in the Alexandria database.

Output
Volume = 239.49 Å³/cell
Energy relative to the lowest polymorph listed for this composition = 195 meV per atom
Fermi-level density of states = 1.422 states/eV/f.u.
Formation energy from raw total energies = 2.4 meV/atom

a b c (Å): 7.327 8.007 8.007
angles (deg): 32.59 95.19 84.81
Atoms (fractional coordinates):
Co  0.750  0.957  0.457
Co  0.250  0.043  0.543
Te  0.609  0.904  0.769
Te  0.891  0.269  0.404
Te  0.109  0.731  0.596
Te  0.391  0.096  0.231
Br  0.250  0.637  0.137
Br  0.750  0.363  0.863



First-principles (PBE) data for a relaxed structure of Co2TeBr, as listed in the Alexandria database.

Output
Volume = 68.95 Å³/cell
Energy relative to the lowest polymorph listed for this composition = 646 meV per atom
Fermi-level density of states = 6.163 states/eV/f.u.
Formation energy from raw total energies = 650.7 meV/atom

a b c (Å): 4.592 4.734 3.173
angles (deg): 90.00 90.00 90.00
Atoms (fractional coordinates):
Te  0.500  0.000  0.500
Br  0.000  0.500  0.500
Co  0.000  0.000  0.000
Co  0.500  0.500  0.000



First-principles (PBE) data for a relaxed structure of CoTeBr4, as listed in the Alexandria database.

Output
Volume = 168.80 Å³/cell
Fermi-level density of states = 9.426 states/eV/f.u.
Formation energy from raw total energies = 1093.3 meV/atom

a b c (Å): 6.203 6.203 6.203
angles (deg): 60.00 60.00 60.00
Atoms (fractional coordinates):
Br  0.376  0.376  0.376
Br  0.376  0.376  0.872
Br  0.872  0.376  0.376
Br  0.376  0.872  0.376
Te  0.000  0.000  0.000
Co  0.750  0.750  0.750



First-principles (PBE) data for a relaxed structure of Co2TeBr, as listed in the Alexandria database.

Output
Volume = 183.49 Å³/cell
Energy relative to the lowest polymorph listed for this composition = 255 meV per atom
Fermi-level density of states = 4.734 states/eV/f.u.
Formation energy from raw total energies = 259.0 meV/atom

a b c (Å): 5.681 5.681 6.962
angles (deg): 65.92 65.92 90.00
Atoms (fractional coordinates):
Br  0.250  0.750  0.500
Br  0.500  0.500  0.000
Te  0.750  0.250  0.500
Te  0.000  0.000  0.000
Co  0.375  0.386  0.750
Co  0.136  0.625  0.250
Co  0.614  0.125  0.250
Co  0.875  0.864  0.750